## Cs5Tl2Cd (PBE-GGA)

Data for a relaxed Cs5Tl2Cd crystal.

abc: 4.9978 17.9204 24.9782
angles: 90.00 90.00 90.00
Closest atoms and distances in Å follow each position.
Space group Cmcm (No. 63)
One atom of each set of equivalent atoms:
Cs (0.0000, 0.0652, 0.2500) (multiplicity 4)  1 Cd 3.81
Cs (0.0000, 0.1545, 0.0703) (multiplicity 8)  2 Tl 4.07, 1 Cs 4.56
Cs (0.0000, 0.3997, 0.1185) (multiplicity 8)  1 Cd 3.95, 2 Tl 4.09
Tl (0.0000, 0.2573, 0.6822) (multiplicity 8)  2 Cd 3.08, 1 Tl 3.39
Cd (0.0000, 0.2778, 0.2500) (multiplicity 4)  4 Tl 3.08

Summary:
E_form: -0.033 eV per atom
total DFT energy (no corrections): -0.09350 Ry per atom
DOS(E_F): 0.85 states/eV per atom